SmAgPd4: optimized geometry, GGA-PBE.

Values from the calculation:
- offset from the most stable computed form (meV/atom) = 0
- E_form (eV per atom) = -0.527

a = 5.3753 Å, b = 5.3753 Å, c = 5.3753 Å
α = 60.00°, β = 60.00°, γ = 60.00°
With the nearest neighbours (Å) after each atom.
Fractional positions:
Pd (0.6253, 0.6253, 0.1242)  6 Pd 2.68-2.69
Pd (0.6253, 0.1242, 0.6253)  6 Pd 2.68-2.69
Pd (0.6253, 0.6253, 0.6253)  6 Pd 2.68-2.69
Pd (0.1242, 0.6253, 0.6253)  6 Pd 2.68-2.69
Ag (0.0000, 0.0000, 0.0000)  12 Pd 3.15, 4 Sm 3.29
Sm (0.2500, 0.2500, 0.2500)  12 Pd 3.15, 4 Ag 3.29

---

Sm2AgPd4: optimized geometry, GGA-PBE.

Values from the calculation:
- E_form (eV per atom) = -0.048

a = 4.9232 Å, b = 4.9232 Å, c = 7.9187 Å
α = 108.11°, β = 108.11°, γ = 90.00°
With the nearest neighbours (Å) after each atom.
Fractional positions:
Sm (0.3699, 0.3699, 0.7399)  1 Pd 2.63
Sm (0.6301, 0.6301, 0.2601)  1 Pd 2.63
Ag (0.0000, 0.0000, 0.0000)  6 Pd 2.46-2.63
Pd (0.1848, 0.1848, 0.3696)  1 Ag 2.63, 1 Sm 2.63
Pd (0.8152, 0.8152, 0.6304)  1 Ag 2.63, 1 Sm 2.63
Pd (0.0000, 0.5000, 0.0000)  2 Ag 2.46
Pd (0.5000, 0.0000, 0.0000)  2 Ag 2.46

---

Sm3Ag2Pd3: optimized geometry, GGA-PBE.

Values from the calculation:
- E_form (eV per atom) = -0.561

a = 5.7276 Å, b = 8.5988 Å, c = 8.5988 Å
α = 120.00°, β = 90.00°, γ = 90.00°
With the nearest neighbours (Å) after each atom.
Fractional positions:
Sm (0.7500, 0.2852, 0.0000)  5 Pd 2.89-2.98
Sm (0.7500, 0.7148, 0.7148)  5 Pd 2.89-2.98
Sm (0.7500, 0.0000, 0.2852)  5 Pd 2.89-2.98
Sm (0.2500, 0.7148, 0.0000)  5 Pd 2.89-2.98
Sm (0.2500, 0.2852, 0.2852)  5 Pd 2.89-2.98
Sm (0.2500, 0.0000, 0.7148)  5 Pd 2.89-2.98
Ag (0.0000, 0.3333, 0.6667)  2 Ag 2.86, 6 Pd 3.05
Ag (0.5000, 0.6667, 0.3333)  2 Ag 2.86, 6 Pd 3.05
Ag (0.0000, 0.6667, 0.3333)  2 Ag 2.86, 6 Pd 3.05
Ag (0.5000, 0.3333, 0.6667)  2 Ag 2.86, 6 Pd 3.05
Pd (0.7500, 0.6208, 0.0000)  5 Sm 2.89-2.98, 4 Ag 3.05
Pd (0.7500, 0.3792, 0.3792)  5 Sm 2.89-2.98, 4 Ag 3.05
Pd (0.7500, 0.0000, 0.6208)  5 Sm 2.89-2.98, 4 Ag 3.05
Pd (0.2500, 0.3792, 0.0000)  5 Sm 2.89-2.98, 4 Ag 3.05
Pd (0.2500, 0.6208, 0.6208)  5 Sm 2.89-2.98, 4 Ag 3.05
Pd (0.2500, 0.0000, 0.3792)  5 Sm 2.89-2.98, 4 Ag 3.05